# 1
Entry from Alexandria: a geometry-optimized Ba3S2Cl2 structure (PBE).

The structure in extended XYZ format:
```
7
Lattice="-3.353 2.530 -1.702 -2.408 -7.562 -0.461 -2.060 2.386 7.604" Properties=species:S:1:pos:R:3 pbc="T T T"
Ba 0.000 0.000 0.000
Ba -4.459 -1.655 0.292
Ba -3.361 -0.992 5.148
S -4.578 1.836 5.716
S -3.242 -4.483 -0.276
Cl -5.842 -1.542 3.183
Cl -1.979 -1.105 2.258
```

Summary:
space group: No. 12

***

# 2
Entry from Alexandria: a geometry-optimized Ba3SCl3 structure (PBE).

The structure in extended XYZ format:
```
7
Lattice="6.334 0.000 0.000 0.000 6.334 0.000 0.000 0.000 6.334" Properties=species:S:1:pos:R:3 pbc="T T T"
Ba 3.167 0.000 3.167
Ba 3.167 3.167 0.000
Ba 0.000 3.167 3.167
S 3.167 3.167 3.167
Cl 0.000 3.167 0.000
Cl 0.000 0.000 3.167
Cl 3.167 0.000 0.000
```

Summary:
space group: No. 221

***

# 3
Entry from Alexandria: a geometry-optimized Ba8S6Cl structure (PBE).

The structure in extended XYZ format:
```
15
Lattice="-0.860 4.241 -1.808 -7.815 -4.833 -7.620 -3.674 3.816 10.698" Properties=species:S:1:pos:R:3 pbc="T T T"
Ba -9.330 -0.268 -5.254
Ba -8.314 2.321 0.336
Ba -3.581 1.575 -3.666
Ba -3.018 3.492 6.523
Ba -4.034 0.902 0.934
Ba -8.768 1.649 4.935
Ba -5.698 4.108 3.238
Ba -6.651 -0.884 -1.969
S -6.302 0.528 -4.926
S -9.317 1.016 -2.349
S -5.628 2.188 -1.354
S -6.047 2.695 6.196
S -3.032 2.208 3.618
S -6.721 1.036 2.623
Cl -0.430 2.120 -0.904
```

Summary:
space group: No. 147

***

# 4
Entry from Alexandria: a geometry-optimized Ba2S2Cl structure (PBE).

The structure in extended XYZ format:
```
5
Lattice="4.739 0.000 0.000 0.000 4.739 0.000 2.369 2.369 8.062" Properties=species:S:1:pos:R:3 pbc="T T T"
S 4.739 2.369 4.031
S 2.369 4.739 4.031
Ba 2.369 2.369 2.174
Ba 4.739 4.739 5.888
Cl 0.000 0.000 0.000
```

Summary:
energy relative to the lowest polymorph listed for this composition: 274 meV/atom
space group: No. 139

***

# 5
Entry from Alexandria: a geometry-optimized BaS8Cl2 structure (PBE).

The structure in extended XYZ format:
```
11
Lattice="4.389 -0.386 0.740 0.624 7.224 2.090 -2.475 -0.396 10.860" Properties=species:S:1:pos:R:3 pbc="T T T"
Ba 0.000 0.000 0.000
S 3.055 1.520 5.273
S 1.713 2.168 10.007
S 3.752 2.918 3.602
S -1.214 3.524 10.088
S 0.825 4.274 3.683
S -0.517 4.923 8.417
S -0.328 2.551 6.066
S 2.866 3.891 7.624
Cl 1.925 0.446 2.279
Cl 0.613 5.996 11.411
```

Summary:
space group: No. 2

***

# 6
Entry from Alexandria: a geometry-optimized Ba2S6Cl structure (PBE).

The structure in extended XYZ format:
```
9
Lattice="7.396 1.947 3.899 -3.026 6.348 -7.088 7.987 -0.300 12.945" Properties=species:S:1:pos:R:3 pbc="T T T"
Ba 2.016 6.519 -3.383
Ba 10.341 1.476 13.140
S 0.636 4.519 -0.891
S 11.720 3.477 10.648
S 8.836 4.972 6.876
S 10.005 2.780 9.986
S 2.352 5.215 -0.229
S 3.520 3.024 2.881
Cl 0.000 0.000 0.000
```

Summary:
space group: No. 2

***

# 7
Entry from Alexandria: a geometry-optimized Ba2S2Cl structure (PBE).

The structure in extended XYZ format:
```
10
Lattice="8.519 0.000 0.000 0.000 8.519 0.000 0.000 0.000 4.268" Properties=species:S:1:pos:R:3 pbc="T T T"
S 0.980 5.240 2.134
S 5.240 7.539 2.134
S 7.539 3.279 2.134
S 3.279 0.980 2.134
Ba 2.767 7.027 0.000
Ba 7.027 5.752 0.000
Ba 5.752 1.493 0.000
Ba 1.493 2.767 0.000
Cl 0.000 0.000 0.000
Cl 4.260 4.260 0.000
```

Summary:
energy relative to the lowest polymorph listed for this composition: 0 meV/atom
space group: No. 127

***

# 8
Entry from Alexandria: a geometry-optimized Ba6S5Cl structure (PBE).

The structure in extended XYZ format:
```
12
Lattice="7.883 0.216 0.000 2.426 7.506 0.000 1.213 3.753 6.831" Properties=species:S:1:pos:R:3 pbc="T T T"
Ba 6.493 2.094 2.354
Ba 3.817 5.628 2.354
Ba 2.651 1.997 0.000
Ba 7.658 5.725 0.000
Ba 7.706 5.847 4.477
Ba 5.030 9.381 4.477
S 5.155 3.861 4.583
S 1.213 3.753 2.281
S 5.155 3.861 0.000
S 2.426 7.506 4.550
S 6.368 7.614 2.248
Cl 0.000 0.000 0.000
```

Summary:
space group: No. 12

***

# 9
Entry from Alexandria: a geometry-optimized BaSbSCl2 structure (PBE).

The structure in extended XYZ format:
```
5
Lattice="5.813 0.000 0.000 0.000 5.813 0.000 0.000 0.000 6.366" Properties=species:S:1:pos:R:3 pbc="T T T"
Sb 2.907 2.907 3.183
S 0.000 0.000 3.183
Ba 0.000 0.000 0.000
Cl 0.000 2.907 0.000
Cl 2.907 0.000 0.000
```

Summary:
energy relative to the lowest polymorph listed for this composition: 545 meV/atom
space group: No. 123

***

# 10
Entry from Alexandria: a geometry-optimized Ba4SbSCl2 structure (PBE).

The structure in extended XYZ format:
```
16
Lattice="9.437 0.012 -0.154 0.005 9.437 -0.154 -4.783 -4.786 6.831" Properties=species:S:1:pos:R:3 pbc="T T T"
Ba 2.290 7.155 -0.152
Ba 4.613 0.048 3.259
Ba 0.046 4.615 3.264
Ba 2.369 -2.492 6.674
Ba 2.393 2.385 6.475
Ba 4.606 4.599 3.309
Ba 0.053 0.064 3.214
Ba 2.266 2.278 0.047
Sb 0.003 4.718 -0.077
Sb -2.389 2.325 3.338
S 2.329 2.331 3.261
S 0.000 0.000 0.000
Cl -0.065 -4.780 6.754
Cl 2.327 -2.387 3.338
Cl 7.050 7.056 3.107
Cl 4.721 4.724 -0.154
```

Summary:
space group: No. 74

***

# 11
Entry from Alexandria: a geometry-optimized BaSbS2Cl structure (PBE).

The structure in extended XYZ format:
```
5
Lattice="5.844 0.000 0.000 0.000 5.844 0.000 0.000 0.000 5.617" Properties=species:S:1:pos:R:3 pbc="T T T"
Sb 2.922 2.922 2.809
S 0.000 2.922 0.000
S 2.922 0.000 0.000
Ba 0.000 0.000 0.000
Cl 0.000 0.000 2.809
```

Summary:
energy relative to the lowest polymorph listed for this composition: 1141 meV/atom
space group: No. 123

***

# 12
Entry from Alexandria: a geometry-optimized BaSbSCl2 structure (PBE).

The structure in extended XYZ format:
```
5
Lattice="-4.939 -0.189 -2.176 -1.096 -4.440 2.873 -1.909 3.103 4.066" Properties=species:S:1:pos:R:3 pbc="T T T"
Sb 0.000 0.000 0.000
S -0.955 1.551 2.033
Ba -3.972 -0.763 2.382
Cl -0.548 -2.220 1.437
Cl -2.470 -0.094 -1.088
```

Summary:
energy relative to the lowest polymorph listed for this composition: 0 meV/atom
space group: No. 123

***

# 13
Entry from Alexandria: a geometry-optimized Ba6SbS2Cl3 structure (PBE).

The structure in extended XYZ format:
```
12
Lattice="-7.541 2.221 -1.893 1.262 -5.329 5.948 2.519 6.698 3.622" Properties=species:S:1:pos:R:3 pbc="T T T"
Ba -4.297 4.116 4.431
Ba -3.994 -0.683 3.825
Ba 0.537 -0.525 3.246
Ba -1.229 1.484 7.164
Ba 0.234 4.274 3.852
Ba -2.531 2.106 0.514
Sb 0.000 0.000 0.000
S -1.674 -2.811 3.333
S -4.605 -0.297 0.722
Cl 1.094 -0.755 6.487
Cl -4.853 4.346 1.190
Cl -1.880 1.795 3.839
```

Summary:
space group: No. 12

***

Asked for raw formation energy across the records above, the calculation gives -2222; -2167; -1708; -1558; -513; -996; -1832; -2064; -494; -1772; 80; -1039; -1844 meV/atom in order.